# 1
DFT (PBE) results for a relaxed structure of Ac4La4Pm.

Properties
crystal system = tetragonal

a = 8.610 Å, b = 8.610 Å, c = 8.610 Å
α = 95.67°, β = 95.67°, γ = 143.37°
Fractional coordinates of all 9 atoms:
Ac (0.165, 0.165, 0.331)
Ac (0.165, 0.835, 0.000)
Ac (0.835, 0.165, 0.000)
Ac (0.835, 0.835, 0.669)
La (0.161, 0.500, 0.661)
La (0.500, 0.161, 0.661)
La (0.500, 0.839, 0.339)
La (0.839, 0.500, 0.339)
Pm (0.500, 0.500, 0.000)

---

# 2
DFT (PBE) results for a relaxed structure of Be2HgBr2.

Properties
excess energy over the best structure of this formula in the dataset = 0.00 eV per formula unit
crystal system = tetragonal
formation energy from raw total energies = -16.76 kJ/mol of atoms

a = 10.574 Å, b = 10.574 Å, c = 3.413 Å
α = 90.00°, β = 90.00°, γ = 90.00°
Fractional coordinates of all 10 atoms:
Be (0.069, 0.431, 0.000)
Be (0.431, 0.931, 0.000)
Be (0.569, 0.069, 0.000)
Be (0.931, 0.569, 0.000)
Hg (0.000, 0.000, 0.000)
Hg (0.500, 0.500, 0.000)
Br (0.161, 0.339, 0.500)
Br (0.339, 0.839, 0.500)
Br (0.661, 0.161, 0.500)
Br (0.839, 0.661, 0.500)

---

# 3
DFT (PBE) results for a relaxed structure of MgNi2Os.

Properties
crystal system = tetragonal

a = 4.404 Å, b = 4.404 Å, c = 4.404 Å
α = 127.30°, β = 127.30°, γ = 77.77°
Fractional coordinates of all 4 atoms:
Mg (0.000, 0.000, 0.000)
Ni (0.250, 0.750, 0.500)
Ni (0.750, 0.250, 0.500)
Os (0.500, 0.500, 0.000)

---

# 4
DFT (PBE) results for a relaxed structure of Tl5Te5Pd.

Properties
crystal system = monoclinic
formation energy from raw total energies = -17.76 kJ/mol of atoms

a = 8.372 Å, b = 8.372 Å, c = 8.468 Å
α = 112.50°, β = 112.50°, γ = 42.50°
Fractional coordinates of all 11 atoms:
Tl (0.000, 0.000, 0.000)
Tl (0.291, 0.291, 0.224)
Tl (0.374, 0.374, 0.748)
Tl (0.626, 0.626, 0.252)
Tl (0.709, 0.709, 0.776)
Te (0.141, 0.141, 0.816)
Te (0.152, 0.152, 0.423)
Te (0.500, 0.500, 0.500)
Te (0.848, 0.848, 0.577)
Te (0.859, 0.859, 0.184)
Pd (0.000, 0.000, 0.500)

---

# 5
DFT (PBE) results for a relaxed structure of La3SmIn.

Properties
excess energy over the best structure of this formula in the dataset = 0.00 eV per formula unit
crystal system = orthorhombic

a = 13.457 Å, b = 13.457 Å, c = 4.965 Å
α = 90.00°, β = 90.00°, γ = 158.72°
Fractional coordinates of all 10 atoms:
La (0.054, 0.946, 0.750)
La (0.250, 0.750, 0.750)
La (0.442, 0.558, 0.750)
La (0.558, 0.442, 0.250)
La (0.750, 0.250, 0.250)
La (0.946, 0.054, 0.250)
Sm (0.347, 0.653, 0.250)
Sm (0.653, 0.347, 0.750)
In (0.153, 0.847, 0.250)
In (0.847, 0.153, 0.750)

---

# 6
DFT (PBE) results for a relaxed structure of TcNClF2.

Properties
excess energy over the best structure of this formula in the dataset = 6.84 eV per formula unit
crystal system = tetragonal
formation energy from raw total energies = 89.28 kJ/mol of atoms

a = 4.857 Å, b = 4.857 Å, c = 3.248 Å
α = 90.00°, β = 90.00°, γ = 90.00°
Fractional coordinates of all 5 atoms:
Tc (0.000, 0.000, 0.000)
N (0.500, 0.500, 0.000)
Cl (0.500, 0.500, 0.500)
F (0.000, 0.500, 0.500)
F (0.500, 0.000, 0.500)

---

# 7
DFT (PBE) results for a relaxed structure of Ga2IrBr.

Properties
excess energy over the best structure of this formula in the dataset = 0.00 eV per formula unit
crystal system = tetragonal
formation energy from raw total energies = 1.67 kJ/mol of atoms

a = 7.485 Å, b = 7.485 Å, c = 7.485 Å
α = 133.06°, β = 133.06°, γ = 68.56°
Fractional coordinates of all 8 atoms:
Ga (0.049, 0.625, 0.924)
Ga (0.375, 0.299, 0.424)
Ga (0.701, 0.125, 0.076)
Ga (0.875, 0.951, 0.576)
Ir (0.000, 0.000, 0.000)
Ir (0.750, 0.250, 0.500)
Br (0.250, 0.750, 0.500)
Br (0.500, 0.500, 0.000)

---

# 8
DFT (PBE) results for a relaxed structure of K2RbNaSb.

Properties
excess energy over the best structure of this formula in the dataset = 0.00 eV per formula unit
crystal system = tetragonal
formation energy from raw total energies = -19.20 kJ/mol of atoms

a = 6.911 Å, b = 6.911 Å, c = 6.060 Å
α = 90.00°, β = 90.00°, γ = 90.00°
Fractional coordinates of all 5 atoms:
K (0.000, 0.500, 0.000)
K (0.500, 0.000, 0.000)
Rb (0.000, 0.000, 0.500)
Na (0.500, 0.500, 0.500)
Sb (0.500, 0.500, 0.000)

---

# 9
DFT (PBE) results for a relaxed structure of Na3Sc3GeO8.

Properties
crystal system = trigonal
formation energy from raw total energies = -251.30 kJ/mol of atoms

a = 6.598 Å, b = 6.598 Å, c = 6.598 Å
α = 56.57°, β = 56.57°, γ = 56.57°
Fractional coordinates of all 15 atoms:
Na (0.000, 0.500, 0.500)
Na (0.500, 0.000, 0.500)
Na (0.500, 0.500, 0.000)
Sc (0.000, 0.000, 0.500)
Sc (0.000, 0.500, 0.000)
Sc (0.500, 0.000, 0.000)
Ge (0.500, 0.500, 0.500)
O (0.232, 0.232, 0.232)
O (0.257, 0.717, 0.717)
O (0.283, 0.283, 0.743)
O (0.283, 0.743, 0.283)
O (0.717, 0.257, 0.717)
O (0.717, 0.717, 0.257)
O (0.743, 0.283, 0.283)
O (0.768, 0.768, 0.768)

---

# 10
DFT (PBE) results for a relaxed structure of NbBBr3.

Properties
crystal system = cubic
formation energy from raw total energies = 92.46 kJ/mol of atoms

a = 4.761 Å, b = 4.761 Å, c = 4.761 Å
α = 90.00°, β = 90.00°, γ = 90.00°
Fractional coordinates of all 5 atoms:
Nb (0.000, 0.000, 0.000)
B (0.500, 0.500, 0.500)
Br (0.000, 0.500, 0.500)
Br (0.500, 0.000, 0.500)
Br (0.500, 0.500, 0.000)

---

# 11
DFT (PBE) results for a relaxed structure of AuCl5.

Properties
excess energy over the best structure of this formula in the dataset = 2.53 eV per formula unit
crystal system = hexagonal
formation energy from raw total energies = 41.01 kJ/mol of atoms

a = 5.024 Å, b = 5.024 Å, c = 8.372 Å
α = 90.00°, β = 90.00°, γ = 120.00°
Fractional coordinates of all 6 atoms:
Au (0.000, 0.000, 0.000)
Cl (0.000, 0.500, 0.500)
Cl (0.333, 0.667, 0.000)
Cl (0.500, 0.000, 0.500)
Cl (0.500, 0.500, 0.500)
Cl (0.667, 0.333, 0.000)

---

# 12
DFT (PBE) results for a relaxed structure of Np4Se3N2.

Properties
crystal system = monoclinic
formation energy from raw total energies = -113.88 kJ/mol of atoms

a = 8.020 Å, b = 8.020 Å, c = 6.179 Å
α = 90.75°, β = 90.75°, γ = 75.00°
Fractional coordinates of all 18 atoms:
Np (0.057, 0.697, 0.529)
Np (0.258, 0.411, 0.070)
Np (0.303, 0.943, 0.971)
Np (0.411, 0.258, 0.570)
Np (0.589, 0.742, 0.430)
Np (0.697, 0.057, 0.029)
Np (0.742, 0.589, 0.930)
Np (0.943, 0.303, 0.471)
Se (0.015, 0.757, 0.028)
Se (0.243, 0.985, 0.472)
Se (0.402, 0.598, 0.750)
Se (0.598, 0.402, 0.250)
Se (0.757, 0.015, 0.528)
Se (0.985, 0.243, 0.972)
N (0.164, 0.420, 0.415)
N (0.420, 0.164, 0.915)
N (0.580, 0.836, 0.085)
N (0.836, 0.580, 0.585)

---

# 13
DFT (PBE) results for a relaxed structure of GdFeNi2.

Properties
crystal system = trigonal

a = 4.400 Å, b = 4.400 Å, c = 4.400 Å
α = 61.93°, β = 61.93°, γ = 61.93°
Fractional coordinates of all 4 atoms:
Gd (0.000, 0.000, 0.000)
Fe (0.500, 0.500, 0.500)
Ni (0.261, 0.261, 0.261)
Ni (0.739, 0.739, 0.739)

---

# 14
DFT (PBE) results for a relaxed structure of Sb3Pd5.

Properties
excess energy over the best structure of this formula in the dataset = 0.30 eV per formula unit
crystal system = orthorhombic
formation energy from raw total energies = -35.61 kJ/mol of atoms

a = 6.055 Å, b = 6.055 Å, c = 8.914 Å
α = 90.00°, β = 90.00°, γ = 66.24°
Fractional coordinates of all 16 atoms:
Sb (0.052, 0.948, 0.750)
Sb (0.307, 0.307, 0.000)
Sb (0.307, 0.307, 0.500)
Sb (0.693, 0.693, 0.000)
Sb (0.693, 0.693, 0.500)
Sb (0.948, 0.052, 0.250)
Pd (0.011, 0.419, 0.750)
Pd (0.222, 0.778, 0.030)
Pd (0.222, 0.778, 0.470)
Pd (0.419, 0.011, 0.250)
Pd (0.455, 0.545, 0.750)
Pd (0.545, 0.455, 0.250)
Pd (0.581, 0.989, 0.750)
Pd (0.778, 0.222, 0.530)
Pd (0.778, 0.222, 0.970)
Pd (0.989, 0.581, 0.250)

---

# 15
DFT (PBE) results for a relaxed structure of HfMg6BiO8.

Properties
excess energy over the best structure of this formula in the dataset = 0.00 eV per formula unit
crystal system = tetragonal
formation energy from raw total energies = -199.78 kJ/mol of atoms

a = 4.401 Å, b = 4.401 Å, c = 10.467 Å
α = 90.00°, β = 90.00°, γ = 90.00°
Fractional coordinates of all 16 atoms:
Hf (0.000, 0.000, 0.000)
Mg (0.000, 0.500, 0.271)
Mg (0.000, 0.500, 0.729)
Mg (0.500, 0.000, 0.271)
Mg (0.500, 0.000, 0.729)
Mg (0.500, 0.500, 0.000)
Mg (0.500, 0.500, 0.500)
Bi (0.000, 0.000, 0.500)
O (0.000, 0.000, 0.197)
O (0.000, 0.000, 0.803)
O (0.000, 0.500, 0.000)
O (0.000, 0.500, 0.500)
O (0.500, 0.000, 0.000)
O (0.500, 0.000, 0.500)
O (0.500, 0.500, 0.289)
O (0.500, 0.500, 0.711)

---

# 16
DFT (PBE) results for a relaxed structure of Rb2TiSb2.

Properties
crystal system = tetragonal
formation energy from raw total energies = -15.28 kJ/mol of atoms

a = 7.500 Å, b = 7.500 Å, c = 6.152 Å
α = 90.00°, β = 90.00°, γ = 90.00°
Fractional coordinates of all 10 atoms:
Rb (0.168, 0.332, 0.000)
Rb (0.332, 0.832, 0.000)
Rb (0.668, 0.168, 0.000)
Rb (0.832, 0.668, 0.000)
Ti (0.000, 0.000, 0.500)
Ti (0.500, 0.500, 0.500)
Sb (0.143, 0.643, 0.500)
Sb (0.357, 0.143, 0.500)
Sb (0.643, 0.857, 0.500)
Sb (0.857, 0.357, 0.500)

---

# 17
DFT (PBE) results for a relaxed structure of TbPmTm3.

Properties
excess energy over the best structure of this formula in the dataset = 0.00 eV per formula unit
crystal system = monoclinic

a = 9.150 Å, b = 6.243 Å, c = 12.200 Å
α = 90.00°, β = 114.72°, γ = 90.00°
Fractional coordinates of all 20 atoms:
Tb (0.148, 0.168, 0.099)
Tb (0.148, 0.332, 0.599)
Tb (0.852, 0.668, 0.401)
Tb (0.852, 0.832, 0.901)
Pm (0.350, 0.169, 0.901)
Pm (0.350, 0.331, 0.401)
Pm (0.650, 0.669, 0.599)
Pm (0.650, 0.831, 0.099)
Tm (0.051, 0.666, 0.201)
Tm (0.051, 0.834, 0.701)
Tm (0.248, 0.665, 0.000)
Tm (0.248, 0.835, 0.500)
Tm (0.448, 0.666, 0.798)
Tm (0.448, 0.834, 0.298)
Tm (0.552, 0.166, 0.702)
Tm (0.552, 0.334, 0.202)
Tm (0.752, 0.165, 0.500)
Tm (0.752, 0.335, 0.000)
Tm (0.949, 0.166, 0.299)
Tm (0.949, 0.334, 0.799)

---

# 18
DFT (PBE) results for a relaxed structure of Li3Pt.

Properties
excess energy over the best structure of this formula in the dataset = 0.53 eV per formula unit
crystal system = trigonal

a = 9.467 Å, b = 9.467 Å, c = 9.467 Å
α = 17.04°, β = 17.04°, γ = 17.04°
Fractional coordinates of all 4 atoms:
Li (0.000, 0.000, 0.000)
Li (0.240, 0.240, 0.240)
Li (0.760, 0.760, 0.760)
Pt (0.500, 0.500, 0.500)

---

# 19
DFT (PBE) results for a relaxed structure of MnPd4Pb.

Properties
excess energy over the best structure of this formula in the dataset = 0.00 eV per formula unit
crystal system = monoclinic

a = 4.973 Å, b = 4.973 Å, c = 5.941 Å
α = 107.75°, β = 107.75°, γ = 46.01°
Fractional coordinates of all 6 atoms:
Mn (0.000, 0.000, 0.000)
Pd (0.332, 0.332, 0.157)
Pd (0.339, 0.339, 0.683)
Pd (0.661, 0.661, 0.317)
Pd (0.668, 0.668, 0.843)
Pb (0.000, 0.000, 0.500)

---

# 20
DFT (PBE) results for a relaxed structure of DyErAg5.

Properties
crystal system = tetragonal

a = 4.948 Å, b = 4.948 Å, c = 6.593 Å
α = 90.00°, β = 90.00°, γ = 90.00°
Fractional coordinates of all 7 atoms:
Dy (0.000, 0.000, 0.000)
Er (0.500, 0.500, 0.500)
Ag (0.000, 0.500, 0.263)
Ag (0.000, 0.500, 0.737)
Ag (0.500, 0.000, 0.263)
Ag (0.500, 0.000, 0.737)
Ag (0.500, 0.500, 0.000)

---

# 21
DFT (PBE) results for a relaxed structure of Rb2Tl3Au2.

Properties
crystal system = monoclinic

a = 6.813 Å, b = 6.813 Å, c = 8.836 Å
α = 115.02°, β = 115.02°, γ = 40.12°
Fractional coordinates of all 7 atoms:
Rb (0.144, 0.144, 0.281)
Rb (0.856, 0.856, 0.719)
Tl (0.366, 0.366, 0.062)
Tl (0.500, 0.500, 0.500)
Tl (0.634, 0.634, 0.938)
Au (0.133, 0.133, 0.726)
Au (0.867, 0.867, 0.274)

---

# 22
DFT (PBE) results for a relaxed structure of RbNi2C2.

Properties
excess energy over the best structure of this formula in the dataset = 0.00 eV per formula unit
crystal system = tetragonal

a = 6.574 Å, b = 6.574 Å, c = 6.574 Å
α = 148.93°, β = 148.93°, γ = 44.52°
Fractional coordinates of all 5 atoms:
Rb (0.000, 0.000, 0.000)
Ni (0.250, 0.750, 0.500)
Ni (0.750, 0.250, 0.500)
C (0.316, 0.316, 0.000)
C (0.684, 0.684, 0.000)

---

# 23
DFT (PBE) results for a relaxed structure of ZnCuIr2.

Properties
crystal system = tetragonal

a = 5.541 Å, b = 5.541 Å, c = 5.541 Å
α = 101.77°, β = 101.77°, γ = 126.30°
Fractional coordinates of all 8 atoms:
Zn (0.000, 0.000, 0.000)
Zn (0.750, 0.250, 0.500)
Cu (0.250, 0.750, 0.500)
Cu (0.500, 0.500, 0.000)
Ir (0.129, 0.625, 0.004)
Ir (0.375, 0.379, 0.504)
Ir (0.621, 0.125, 0.996)
Ir (0.875, 0.871, 0.496)

---

VASP energy for the records above, in order: -40.7; -23.9; -23.7; -34.8; -46.6; -19.7; -33.0; -9.6; -106.3; -17.0; -10.0; -179.0; -33.9; -82.6; -96.2; -37.7; -91.1; -12.9; -34.9; -23.9; -16.7; -28.3; -41.9 eV/cell